Here is crystalline MnClF at its relaxed geometry from Alexandria via LeMat-Bulk. Energies are from PBE with a Hubbard U.

## Properties
Crystal system   orthorhombic
ΔE to the lowest computed polymorph   59 meV per atom
Calculated volume   19.75 Å³ per atom
DOS(E_F)   0.0 states/eV per cell
Total moment   5.00 μB per formula unit
DFT total energy   -5.66 eV per atom

a = 11.128 Å, b = 13.864 Å, c = 6.144 Å
α = 90.00°, β = 90.00°, γ = 90.00°
Space group Fdd2 (No. 43)
Unique sites:
Mn 0.125 0.073 0.000
Cl 0.092 0.213 0.752
F 0.072 0.426 0.493